[1]
{
  "formula": "Sc3SnOs2",
  "functional": "PBE-GGA",
  "state": "relaxed",
  "volume_a3_per_atom": 18.38,
  "total_magnetization_mub_per_fu": 0.00,
  "formation_energy_kcal_per_mol_atoms": -11.47,
  "e_tot_ev_per_cell": -48.4,
  "cell": [[3.330, 0.000, 0.000], [0.000, 3.330, 0.000], [0.000, 0.000, 9.945]],
  "species": ["Os", "Os", "Sc", "Sc", "Sc", "Sn"],
  "frac_coords": [[0.500, 0.500, 0.161], [0.500, 0.500, 0.839], [0.000, 0.000, 0.000], [0.000, 0.000, 0.695], [0.000, 0.000, 0.305], [0.500, 0.500, 0.500]]
}



[2]
{
  "formula": "PmHoAgBi",
  "functional": "PBE-GGA",
  "state": "relaxed",
  "volume_a3_per_atom": 27.02,
  "total_magnetization_mub_per_fu": 0.00,
  "formation_energy_kcal_per_mol_atoms": -10.01,
  "e_tot_ev_per_cell": -17.8,
  "cell": [[5.347, 0.000, 0.000], [2.673, 4.630, 0.000], [2.673, 1.543, 4.366]],
  "species": ["Ag", "Pm", "Ho", "Bi"],
  "frac_coords": [[0.250, 0.250, 0.250], [0.500, 0.500, 0.500], [0.000, 0.000, 0.000], [0.750, 0.750, 0.750]]
}



[3]
{
  "formula": "YMo2C2",
  "functional": "PBE-GGA",
  "state": "relaxed",
  "volume_a3_per_atom": 14.44,
  "total_magnetization_mub_per_fu": 0.00,
  "formation_energy_kcal_per_mol_atoms": -2.07,
  "e_tot_ev_per_cell": -94.0,
  "cell": [[0.010, -4.043, -3.978], [4.704, 2.933, -1.201], [0.063, -2.185, 5.381]],
  "species": ["C", "C", "C", "C", "Y", "Y", "Mo", "Mo", "Mo", "Mo"],
  "frac_coords": [[0.416, 0.084, 0.250], [0.584, 0.916, 0.750], [0.166, 0.334, 0.750], [0.834, 0.666, 0.250], [0.125, 0.375, 0.250], [0.875, 0.625, 0.750], [0.766, 0.016, 0.532], [0.234, 0.984, 0.468], [0.484, 0.734, 0.968], [0.516, 0.266, 0.032]]
}



[4]
{
  "formula": "NaScSn",
  "functional": "PBE-GGA",
  "state": "relaxed",
  "volume_a3_per_atom": 30.81,
  "total_magnetization_mub_per_fu": 0.00,
  "formation_energy_kcal_per_mol_atoms": -4.46,
  "e_tot_ev_per_cell": -24.5,
  "cell": [[-8.792, 0.795, -0.322], [-1.289, 0.150, -4.897], [0.999, -4.441, 2.223]],
  "species": ["Na", "Na", "Sc", "Sc", "Sn", "Sn"],
  "frac_coords": [[0.887, 0.868, 0.132], [0.325, 0.720, 0.280], [0.480, 0.334, 0.666], [0.164, 0.107, 0.893], [0.109, 0.459, 0.541], [0.513, 0.989, 0.011]]
}



[5]
{
  "formula": "OsPb2I",
  "functional": "PBE-GGA",
  "state": "relaxed",
  "volume_a3_per_atom": 26.82,
  "relative_energy_ev_per_atom": 0.3568,
  "total_magnetization_mub_per_fu": 1.35,
  "e_tot_ev_per_cell": -15.8,
  "e_form_raw_ev_per_atom": 1.11,
  "cell": [[0.000, 3.771, 3.771], [3.771, 0.000, 3.771], [3.771, 3.771, 0.000]],
  "species": ["I", "Os", "Pb", "Pb"],
  "frac_coords": [[0.000, 0.000, 0.000], [0.500, 0.500, 0.500], [0.750, 0.750, 0.750], [0.250, 0.250, 0.250]]
}



[6]
{
  "formula": "SrLi17Sm",
  "functional": "PBE-GGA",
  "state": "relaxed",
  "volume_a3_per_atom": 22.90,
  "total_magnetization_mub_per_fu": 0.00,
  "formation_energy_kcal_per_mol_atoms": 1.26,
  "e_tot_ev_per_cell": -37.9,
  "cell": [[7.579, 0.041, 0.940], [0.836, 7.533, 0.940], [0.046, 0.041, 7.637]],
  "species": ["Li", "Li", "Li", "Li", "Li", "Li", "Li", "Li", "Li", "Li", "Li", "Li", "Li", "Li", "Li", "Li", "Li", "Sr", "Sm"],
  "frac_coords": [[0.906, 0.906, 0.906], [0.160, 0.644, 0.644], [0.644, 0.644, 0.160], [0.099, 0.099, 0.099], [0.292, 0.007, 0.703], [0.342, 0.868, 0.342], [0.703, 0.007, 0.292], [0.868, 0.342, 0.342], [0.007, 0.292, 0.703], [0.997, 0.505, 0.997], [0.505, 0.997, 0.997], [0.007, 0.703, 0.292], [0.703, 0.292, 0.007], [0.644, 0.160, 0.644], [0.292, 0.703, 0.007], [0.997, 0.997, 0.505], [0.342, 0.342, 0.868], [0.651, 0.651, 0.651], [0.340, 0.340, 0.340]]
}



[7]
{
  "formula": "K2NaTlBr4",
  "functional": "PBE-GGA",
  "state": "relaxed",
  "volume_a3_per_atom": 35.42,
  "total_magnetization_mub_per_fu": 0.00,
  "e_tot_ev_per_cell": -24.3,
  "e_form_raw_ev_per_atom": -1.46,
  "cell": [[4.639, 0.000, 0.000], [0.000, 8.002, -0.142], [0.000, 2.812, 7.583]],
  "species": ["Tl", "Br", "Br", "Br", "Br", "K", "K", "Na"],
  "frac_coords": [[0.500, 0.500, 0.000], [0.000, 0.257, 0.265], [0.500, 0.264, 0.732], [0.500, 0.736, 0.268], [0.000, 0.743, 0.735], [0.000, 0.000, 0.000], [0.500, 0.000, 0.500], [0.000, 0.500, 0.500]]
}



[8]
{
  "formula": "Pa2CoRe",
  "functional": "PBE-GGA",
  "state": "relaxed",
  "volume_a3_per_atom": 19.28,
  "relative_energy_ev_per_atom": 0.0000,
  "total_magnetization_mub_per_fu": 0.00,
  "formation_energy_kcal_per_mol_atoms": -1.52,
  "e_tot_ev_per_cell": -38.8,
  "cell": [[-2.393, 0.631, -2.273], [-2.291, 0.152, 2.454], [1.146, 6.701, 0.653]],
  "species": ["Co", "Re", "Pa", "Pa"],
  "frac_coords": [[0.500, 0.500, 0.000], [0.500, 0.500, 0.500], [0.000, 0.000, 0.764], [0.000, 0.000, 0.236]]
}



[9]
{
  "formula": "AcPrH",
  "functional": "PBE-GGA",
  "state": "relaxed",
  "volume_a3_per_atom": 28.92,
  "relative_energy_ev_per_atom": 0.0968,
  "total_magnetization_mub_per_fu": 0.00,
  "e_tot_ev_per_cell": -12.4,
  "cell": [[3.631, 0.000, 0.000], [0.000, 3.631, 0.000], [-1.815, -1.815, 6.580]],
  "species": ["Pr", "H", "Ac"],
  "frac_coords": [[0.745, 0.745, 0.490], [0.223, 0.223, 0.446], [0.032, 0.032, 0.065]]
}



[10]
{
  "formula": "ScMn2Si",
  "functional": "PBE-GGA",
  "state": "relaxed",
  "volume_a3_per_atom": 15.61,
  "total_magnetization_mub_per_fu": 0.00,
  "e_tot_ev_per_cell": -59.1,
  "e_form_raw_ev_per_atom": 0.14,
  "cell": [[-2.587, -0.486, -2.774], [2.628, -1.769, -2.141], [-2.238, -8.620, 0.963]],
  "species": ["Sc", "Sc", "Si", "Si", "Mn", "Mn", "Mn", "Mn"],
  "frac_coords": [[0.750, 0.250, 0.500], [0.000, 0.000, 0.000], [0.250, 0.750, 0.500], [0.500, 0.500, 0.000], [0.510, 0.125, 0.250], [0.875, 0.760, 0.750], [0.240, 0.625, 0.250], [0.375, 0.490, 0.750]]
}



[11]
{
  "formula": "CaTc2MoCl",
  "functional": "PBE-GGA",
  "state": "relaxed",
  "volume_a3_per_atom": 22.87,
  "total_magnetization_mub_per_fu": 1.88,
  "e_tot_ev_per_cell": -31.1,
  "e_form_raw_ev_per_atom": 0.86,
  "cell": [[-0.195, -1.812, 4.382], [-2.372, -4.111, -1.805], [4.191, -2.117, -0.689]],
  "species": ["Mo", "Tc", "Tc", "Cl", "Ca"],
  "frac_coords": [[0.000, 0.000, 0.000], [0.000, 0.000, 0.500], [0.500, 0.000, 0.000], [0.000, 0.500, 0.000], [0.500, 0.500, 0.500]]
}



[12]
{
  "formula": "Na3CeZr2Se6",
  "functional": "PBE-GGA",
  "state": "relaxed",
  "volume_a3_per_atom": 24.51,
  "total_magnetization_mub_per_fu": 2.17,
  "e_tot_ev_per_cell": -64.6,
  "e_form_raw_ev_per_atom": -1.39,
  "cell": [[6.902, -0.007, -0.004], [-3.455, 5.975, -0.004], [-1.153, -1.997, 7.141]],
  "species": ["Zr", "Zr", "Se", "Se", "Se", "Se", "Se", "Se", "Na", "Na", "Na", "Ce"],
  "frac_coords": [[0.668, 0.332, 0.000], [0.332, 0.668, 0.000], [0.274, 0.274, 0.771], [0.923, 0.573, 0.770], [0.077, 0.427, 0.230], [0.573, 0.923, 0.770], [0.726, 0.726, 0.229], [0.427, 0.077, 0.230], [0.500, 0.500, 0.500], [0.162, 0.838, 0.500], [0.838, 0.162, 0.500], [0.000, 0.000, 0.000]]
}



[13]
{
  "formula": "TePd",
  "functional": "PBE-GGA",
  "state": "relaxed",
  "volume_a3_per_atom": 27.55,
  "total_magnetization_mub_per_fu": 0.00,
  "e_tot_ev_per_cell": -34.7,
  "e_form_raw_ev_per_atom": -0.17,
  "cell": [[6.040, 0.000, 0.000], [0.000, 6.040, 0.000], [0.000, 0.000, 6.040]],
  "species": ["Pd", "Pd", "Pd", "Pd", "Te", "Te", "Te", "Te"],
  "frac_coords": [[0.250, 0.250, 0.250], [0.250, 0.750, 0.750], [0.750, 0.750, 0.250], [0.750, 0.250, 0.750], [0.500, 0.500, 0.000], [0.000, 0.500, 0.500], [0.000, 0.000, 0.000], [0.500, 0.000, 0.500]]
}



[14]
{
  "formula": "Tb12Ho6Mg",
  "functional": "PBE-GGA",
  "state": "relaxed",
  "volume_a3_per_atom": 32.40,
  "relative_energy_ev_per_atom": 0.0047,
  "total_magnetization_mub_per_fu": 0.00,
  "formation_energy_kcal_per_mol_atoms": 3.20,
  "e_tot_ev_per_cell": -82.0,
  "cell": [[8.455, 0.407, -1.416], [-1.736, 8.285, -1.416], [0.314, 0.407, 8.567]],
  "species": ["Ho", "Ho", "Ho", "Ho", "Ho", "Ho", "Tb", "Tb", "Tb", "Tb", "Tb", "Tb", "Tb", "Tb", "Tb", "Tb", "Tb", "Tb", "Mg"],
  "frac_coords": [[0.864, 0.863, 0.592], [0.863, 0.592, 0.864], [0.408, 0.136, 0.137], [0.137, 0.408, 0.136], [0.136, 0.137, 0.408], [0.592, 0.864, 0.863], [0.585, 0.585, 0.168], [0.415, 0.832, 0.415], [0.262, 0.000, 0.738], [0.262, 0.738, 0.000], [0.168, 0.585, 0.585], [0.415, 0.415, 0.832], [0.585, 0.168, 0.585], [0.832, 0.415, 0.415], [0.738, 0.262, 0.000], [0.000, 0.262, 0.738], [0.738, 0.000, 0.262], [0.000, 0.738, 0.262], [0.000, 0.000, 0.000]]
}



[15]
{
  "formula": "TaTeRh2",
  "functional": "PBE-GGA",
  "state": "relaxed",
  "volume_a3_per_atom": 17.11,
  "total_magnetization_mub_per_fu": 0.00,
  "e_tot_ev_per_cell": -29.9,
  "e_form_raw_ev_per_atom": -0.05,
  "cell": [[2.839, -3.944, 0.000], [2.839, 3.944, 0.000], [0.000, 0.000, 3.055]],
  "species": ["Rh", "Rh", "Te", "Ta"],
  "frac_coords": [[0.000, 0.500, 0.000], [0.500, 0.000, 0.000], [0.000, 0.000, 0.500], [0.500, 0.500, 0.500]]
}



[16]
{
  "formula": "SmHo7In4",
  "functional": "PBE-GGA",
  "state": "relaxed",
  "volume_a3_per_atom": 29.53,
  "total_magnetization_mub_per_fu": 0.00,
  "formation_energy_kcal_per_mol_atoms": -2.13,
  "e_tot_ev_per_cell": -48.8,
  "cell": [[-4.579, 3.293, -0.095], [-4.470, -1.152, 8.011], [1.201, 6.614, 3.867]],
  "species": ["Ho", "Ho", "Ho", "Ho", "Ho", "Ho", "Ho", "In", "In", "In", "In", "Sm"],
  "frac_coords": [[0.789, 0.876, 0.546], [0.211, 0.124, 0.454], [0.064, 0.604, 0.269], [0.500, 0.000, 0.000], [0.936, 0.396, 0.731], [0.718, 0.342, 0.222], [0.282, 0.658, 0.778], [0.561, 0.241, 0.637], [0.318, 0.334, 0.029], [0.682, 0.666, 0.971], [0.439, 0.759, 0.363], [0.000, 0.000, 0.000]]
}



[17]
{
  "formula": "NaSr2GaN",
  "functional": "PBE-GGA",
  "state": "relaxed",
  "volume_a3_per_atom": 25.80,
  "total_magnetization_mub_per_fu": 0.00,
  "e_tot_ev_per_cell": -16.6,
  "e_form_raw_ev_per_atom": -0.11,
  "cell": [[-1.083, -3.675, -3.838], [-1.992, -2.526, 2.981], [-4.709, 2.479, -1.045]],
  "species": ["Sr", "Sr", "Na", "N", "Ga"],
  "frac_coords": [[0.500, 0.000, 0.000], [0.000, 0.000, 0.500], [0.500, 0.500, 0.500], [0.000, 0.000, 0.000], [0.000, 0.500, 0.000]]
}



[18]
{
  "formula": "SrIn6Pd4",
  "functional": "PBE-GGA",
  "state": "relaxed",
  "volume_a3_per_atom": 23.13,
  "total_magnetization_mub_per_fu": 0.00,
  "formation_energy_kcal_per_mol_atoms": -11.48,
  "e_tot_ev_per_cell": -44.4,
  "cell": [[-0.243, 7.100, -0.539], [-4.848, -3.479, 3.891], [5.172, -3.147, 3.756]],
  "species": ["In", "In", "In", "In", "In", "In", "Pd", "Pd", "Pd", "Pd", "Sr"],
  "frac_coords": [[0.357, 0.474, 0.474], [0.500, 0.000, 0.500], [0.643, 0.118, 0.118], [0.000, 0.526, 0.882], [0.000, 0.882, 0.526], [0.500, 0.500, 0.000], [0.000, 0.251, 0.596], [0.345, 0.749, 0.749], [0.000, 0.596, 0.251], [0.655, 0.404, 0.404], [0.000, 0.000, 0.000]]
}



[19]
{
  "formula": "GaHI2O",
  "functional": "PBE-GGA",
  "state": "relaxed",
  "volume_a3_per_atom": 26.07,
  "relative_energy_ev_per_atom": 0.0000,
  "total_magnetization_mub_per_fu": 0.74,
  "e_tot_ev_per_cell": -14.2,
  "cell": [[6.143, 0.000, 0.000], [0.000, 6.143, 0.000], [0.000, 0.000, 3.454]],
  "species": ["I", "I", "O", "H", "Ga"],
  "frac_coords": [[0.000, 0.500, 0.000], [0.500, 0.000, 0.000], [0.000, 0.000, 0.500], [0.500, 0.500, 0.500], [0.000, 0.000, 0.000]]
}



[20]
{
  "formula": "AgBiO2",
  "functional": "PBE-GGA",
  "state": "relaxed",
  "volume_a3_per_atom": 14.69,
  "total_magnetization_mub_per_fu": 0.00,
  "e_tot_ev_per_cell": -17.9,
  "e_form_raw_ev_per_atom": -0.32,
  "cell": [[3.088, 0.000, 0.000], [0.000, 3.088, 0.000], [0.000, 0.000, 6.161]],
  "species": ["O", "O", "Ag", "Bi"],
  "frac_coords": [[0.000, 0.000, 0.219], [0.000, 0.000, 0.781], [0.500, 0.500, 0.500], [0.500, 0.500, 0.000]]
}



[21]
{
  "formula": "ZnGe2Pb2",
  "functional": "PBE-GGA",
  "state": "relaxed",
  "volume_a3_per_atom": 25.13,
  "relative_energy_ev_per_atom": 0.0742,
  "total_magnetization_mub_per_fu": 0.00,
  "formation_energy_kcal_per_mol_atoms": 5.17,
  "e_tot_ev_per_cell": -16.8,
  "cell": [[3.726, 0.000, 0.000], [0.000, 3.726, 0.000], [1.863, 1.863, 9.050]],
  "species": ["Ge", "Ge", "Pb", "Pb", "Zn"],
  "frac_coords": [[0.750, 0.250, 0.500], [0.250, 0.750, 0.500], [0.601, 0.601, 0.799], [0.399, 0.399, 0.201], [0.000, 0.000, 0.000]]
}



[22]
{
  "formula": "KLi3Si",
  "functional": "PBE-GGA",
  "state": "relaxed",
  "volume_a3_per_atom": 25.29,
  "relative_energy_ev_per_atom": 0.0000,
  "total_magnetization_mub_per_fu": 0.00,
  "e_tot_ev_per_cell": -12.7,
  "e_form_raw_ev_per_atom": -0.09,
  "cell": [[-3.145, -3.666, 1.365], [3.619, -3.391, -0.771], [1.486, 0.501, 4.768]],
  "species": ["Li", "Li", "Li", "K", "Si"],
  "frac_coords": [[0.500, 0.000, 0.000], [0.000, 0.000, 0.500], [0.000, 0.500, 0.000], [0.500, 0.500, 0.500], [0.000, 0.000, 0.000]]
}



[23]
{
  "formula": "Hf3PtS",
  "functional": "PBE-GGA",
  "state": "relaxed",
  "volume_a3_per_atom": 20.31,
  "relative_energy_ev_per_atom": 0.3268,
  "total_magnetization_mub_per_fu": 0.00,
  "e_tot_ev_per_cell": -42.4,
  "e_form_raw_ev_per_atom": -0.47,
  "cell": [[4.665, 0.000, 0.000], [0.000, 4.665, 0.000], [0.000, 0.000, 4.665]],
  "species": ["Pt", "S", "Hf", "Hf", "Hf"],
  "frac_coords": [[0.500, 0.500, 0.500], [0.000, 0.000, 0.000], [0.500, 0.000, 0.000], [0.000, 0.000, 0.500], [0.000, 0.500, 0.000]]
}



[24]
{
  "formula": "Ac3Ta2N8",
  "functional": "PBE-GGA",
  "state": "relaxed",
  "volume_a3_per_atom": 17.42,
  "total_magnetization_mub_per_fu": 5.01,
  "e_tot_ev_per_cell": -109.6,
  "e_form_raw_ev_per_atom": -0.53,
  "cell": [[-5.219, -0.574, -3.124], [-0.967, -4.949, -3.450], [-4.982, -5.088, 3.284]],
  "species": ["Ta", "Ta", "N", "N", "N", "N", "N", "N", "N", "N", "Ac", "Ac", "Ac"],
  "frac_coords": [[0.408, 0.408, 0.776], [0.592, 0.592, 0.224], [0.786, 0.262, 0.690], [0.214, 0.738, 0.310], [0.738, 0.214, 0.310], [0.262, 0.262, 0.690], [0.262, 0.786, 0.690], [0.738, 0.738, 0.310], [0.683, 0.683, 0.952], [0.317, 0.317, 0.048], [0.198, 0.198, 0.407], [0.802, 0.802, 0.593], [0.000, 0.000, 0.000]]
}



[25]
{
  "formula": "CeDy6YTm2",
  "functional": "PBE-GGA",
  "state": "relaxed",
  "volume_a3_per_atom": 32.42,
  "total_magnetization_mub_per_fu": 1.83,
  "formation_energy_kcal_per_mol_atoms": 5.88,
  "e_tot_ev_per_cell": -46.4,
  "cell": [[-3.676, -6.980, 4.208], [-1.353, -2.854, -5.915], [6.181, 0.280, 2.252]],
  "species": ["Dy", "Dy", "Dy", "Dy", "Dy", "Dy", "Ce", "Y", "Tm", "Tm"],
  "frac_coords": [[0.805, 0.924, 0.334], [0.805, 0.409, 0.334], [0.195, 0.591, 0.666], [0.580, 0.367, 0.734], [0.420, 0.633, 0.266], [0.195, 0.076, 0.666], [0.000, 0.500, 0.000], [0.500, 0.000, 0.000], [0.174, 0.091, 0.181], [0.826, 0.909, 0.819]]
}